# 1
CaY2NiPb | PBE | relaxed

Results
**E_form**: -0.25 eV per atom
**Crystal system**: tetragonal

Unit cell a=5.226 b=5.226 c=5.298 alpha=90.00 beta=90.00 gamma=90.00
Element x y z (fractional)
Ca: 0.000 0.000 0.000
Y: 0.000 0.500 0.500
Y: 0.500 0.000 0.500
Ni: 0.000 0.000 0.500
Pb: 0.500 0.500 0.000



# 2
Pm3Ge7Ru2 | PBE | relaxed

Results
**E_form**: -0.62 eV per atom
**Crystal system**: monoclinic

Unit cell a=4.367 b=4.355 c=13.123 alpha=90.00 beta=99.51 gamma=90.00
Element x y z (fractional)
Pm: 0.000 0.000 0.000
Pm: 0.317 0.500 0.633
Pm: 0.683 0.500 0.367
Ge: 0.087 0.500 0.172
Ge: 0.221 0.000 0.442
Ge: 0.413 0.000 0.828
Ge: 0.500 0.500 0.000
Ge: 0.587 0.000 0.172
Ge: 0.779 0.000 0.558
Ge: 0.913 0.500 0.828
Ru: 0.128 0.000 0.255
Ru: 0.872 0.000 0.745



# 3
Ho3H12Rh5 | PBE | relaxed

Results
**Crystal system**: cubic
**Total DFT energy (no corrections)**: -4.92 eV per atom

Unit cell a=9.981 b=9.981 c=9.981 alpha=109.47 beta=109.47 gamma=109.47
Element x y z (fractional)
Ho: 0.125 0.250 0.375
Ho: 0.125 0.375 0.750
Ho: 0.250 0.375 0.125
Ho: 0.250 0.875 0.625
Ho: 0.375 0.125 0.250
Ho: 0.375 0.750 0.125
Ho: 0.625 0.250 0.875
Ho: 0.625 0.875 0.750
Ho: 0.750 0.125 0.375
Ho: 0.750 0.625 0.875
Ho: 0.875 0.625 0.250
Ho: 0.875 0.750 0.625
H: 0.021 0.195 0.107
H: 0.021 0.327 0.914
H: 0.086 0.607 0.413
H: 0.086 0.979 0.673
H: 0.087 0.695 0.673
H: 0.087 0.893 0.414
H: 0.107 0.021 0.195
H: 0.107 0.586 0.913
H: 0.173 0.195 0.587
H: 0.173 0.479 0.586
H: 0.195 0.107 0.021
H: 0.195 0.587 0.173
H: 0.305 0.327 0.913
H: 0.305 0.479 0.393
H: 0.327 0.913 0.305
H: 0.327 0.914 0.021
H: 0.393 0.305 0.479
H: 0.393 0.587 0.914
H: 0.413 0.086 0.607
H: 0.413 0.827 0.805
H: 0.414 0.087 0.893
H: 0.414 0.827 0.521
H: 0.479 0.393 0.305
H: 0.479 0.586 0.173
H: 0.521 0.414 0.827
H: 0.521 0.607 0.695
H: 0.586 0.173 0.479
H: 0.586 0.913 0.107
H: 0.587 0.173 0.195
H: 0.587 0.914 0.393
H: 0.607 0.413 0.086
H: 0.607 0.695 0.521
H: 0.673 0.086 0.979
H: 0.673 0.087 0.695
H: 0.695 0.521 0.607
H: 0.695 0.673 0.087
H: 0.805 0.413 0.827
H: 0.805 0.893 0.979
H: 0.827 0.521 0.414
H: 0.827 0.805 0.413
H: 0.893 0.414 0.087
H: 0.893 0.979 0.805
H: 0.913 0.107 0.586
H: 0.913 0.305 0.327
H: 0.914 0.021 0.327
H: 0.914 0.393 0.587
H: 0.979 0.673 0.086
H: 0.979 0.805 0.893
Rh: 0.000 0.000 0.000
Rh: 0.000 0.000 0.500
Rh: 0.000 0.500 0.000
Rh: 0.000 0.500 0.500
Rh: 0.125 0.750 0.875
Rh: 0.125 0.875 0.250
Rh: 0.250 0.125 0.875
Rh: 0.250 0.625 0.375
Rh: 0.375 0.250 0.625
Rh: 0.375 0.625 0.750
Rh: 0.500 0.000 0.000
Rh: 0.500 0.000 0.500
Rh: 0.500 0.500 0.000
Rh: 0.500 0.500 0.500
Rh: 0.625 0.375 0.250
Rh: 0.625 0.750 0.375
Rh: 0.750 0.375 0.625
Rh: 0.750 0.875 0.125
Rh: 0.875 0.125 0.750
Rh: 0.875 0.250 0.125



# 4
LaCoSiIr2 | PBE | relaxed

Results
**E_form (uncorrected)**: 0.70 eV/atom
**Crystal system**: tetragonal

Unit cell a=4.579 b=4.579 c=4.942 alpha=90.00 beta=90.00 gamma=90.00
Element x y z (fractional)
La: 0.000 0.000 0.000
Co: 0.000 0.000 0.500
Si: 0.500 0.500 0.000
Ir: 0.000 0.500 0.500
Ir: 0.500 0.000 0.500



no.,V (A^3/atom)
1,28.9
2,20.5
3,9.6
4,20.7